MnZn3P | meta-GGA SCAN | single point on PBEsol structure

Cell lengths 4.576, 4.576, 4.576 Å; angles 90.00, 90.00, 90.00 degrees
Fractional positions:
Mn (0.000, 0.000, 0.000)
Zn (0.000, 0.000, 0.500)
Zn (0.000, 0.500, 0.000)
Zn (0.500, 0.000, 0.000)
P (0.500, 0.500, 0.500)

Calculated values
**Calculated density**: 4.89 g/cm³
**Magnetic moment**: 3.2 μB/f.u.
**E**: -12.9050 eV per atom
**V**: 19.16 Å³/atom
**Formation energy from the elements**: 0.935 eV/atom

MnZnP2 | meta-GGA SCAN | single point on PBEsol structure

Cell lengths 5.094, 6.565, 3.229 Å; angles 90.00, 90.00, 90.00 degrees
Fractional positions:
Mn (0.000, 0.000, 0.000)
Mn (0.500, 0.500, 0.000)
Zn (0.000, 0.500, 0.000)
Zn (0.500, 0.000, 0.000)
P (0.250, 0.250, 0.500)
P (0.250, 0.750, 0.500)
P (0.750, 0.250, 0.500)
P (0.750, 0.750, 0.500)

Calculated values
**Calculated density**: 5.61 g/cm³
**Magnetic moment**: 3.5 μB/f.u.
**E**: -13.0264 eV per atom
**V**: 13.50 Å³/atom
**Formation energy from the elements**: 0.116 eV/atom

MnZnP2 | meta-GGA SCAN | single point on PBEsol structure

Cell lengths 2.972, 2.972, 20.947 Å; angles 90.00, 90.00, 120.00 degrees
Fractional positions:
Mn (0.000, 0.000, 0.000)
Mn (0.333, 0.667, 0.667)
Mn (0.667, 0.333, 0.333)
Zn (0.000, 0.000, 0.240)
Zn (0.333, 0.667, 0.907)
Zn (0.667, 0.333, 0.574)
P (0.000, 0.000, 0.484)
P (0.000, 0.000, 0.737)
P (0.333, 0.667, 0.150)
P (0.333, 0.667, 0.404)
P (0.667, 0.333, 0.071)
P (0.667, 0.333, 0.817)

Calculated values
**Calculated density**: 5.67 g/cm³
**Magnetic moment**: 2.7 μB/f.u.
**E**: -12.9552 eV per atom
**V**: 13.36 Å³/atom
**Formation energy from the elements**: 0.187 eV/atom